No. 1
# CoRe3 | OQMD via LeMat-Bulk | GGA-PBE | relaxed
# volume = 14.18 Å³/atom
# theoretical density = 18.1 g/cm3
# calculated formation energy = 0.30 eV/atom
# SG = P6_3/mmc (194)
data_CoRe3
_cell_length_a 4.9524
_cell_length_b 4.9524
_cell_length_c 16.0180
_cell_angle_alpha 90.00
_cell_angle_beta 90.00
_cell_angle_gamma 120.00
_symmetry_space_group_name_H-M 'P 1'
_symmetry_Int_Tables_number 1
loop_
_symmetry_equiv_pos_as_xyz
'x,y,z'
loop_
_atom_site_label
_atom_site_type_symbol
_atom_site_fract_x
_atom_site_fract_y
_atom_site_fract_z
Co1 Co 0.0000 0.5000 0.0000
Co2 Co 0.0000 0.5000 0.5000
Co3 Co 0.5000 0.0000 0.0000
Co4 Co 0.5000 0.0000 0.5000
Co5 Co 0.5000 0.5000 0.0000
Co6 Co 0.5000 0.5000 0.5000
Re1 Re 0.0000 0.0000 0.0815
Re2 Re 0.0000 0.0000 0.4185
Re3 Re 0.0000 0.0000 0.5815
Re4 Re 0.0000 0.0000 0.9185
Re5 Re 0.1611 0.3222 0.2500
Re6 Re 0.1611 0.8389 0.2500
Re7 Re 0.3222 0.1611 0.7500
Re8 Re 0.3333 0.6667 0.1202
Re9 Re 0.3333 0.6667 0.3798
Re10 Re 0.3333 0.6667 0.6529
Re11 Re 0.3333 0.6667 0.8471
Re12 Re 0.6667 0.3333 0.1529
Re13 Re 0.6667 0.3333 0.3471
Re14 Re 0.6667 0.3333 0.6202
Re15 Re 0.6667 0.3333 0.8798
Re16 Re 0.6778 0.8389 0.2500
Re17 Re 0.8389 0.1611 0.7500
Re18 Re 0.8389 0.6778 0.7500

No. 2
# CsTbNdTe3 | OQMD via LeMat-Bulk | GGA-PBE | relaxed
# volume = 43.13 Å³/atom
# final energy = -54.6 eV per cell
# theoretical density = 5.3 g/cm3
# SG = Cmcm (63)
data_CsTbNdTe3
_cell_length_a 9.0676
_cell_length_b 9.0676
_cell_length_c 12.1404
_cell_angle_alpha 90.00
_cell_angle_beta 90.00
_cell_angle_gamma 148.77
_symmetry_space_group_name_H-M 'P 1'
_symmetry_Int_Tables_number 1
loop_
_symmetry_equiv_pos_as_xyz
'x,y,z'
loop_
_atom_site_label
_atom_site_type_symbol
_atom_site_fract_x
_atom_site_fract_y
_atom_site_fract_z
Cs1 Cs 0.2434 0.7566 0.7500
Cs2 Cs 0.7566 0.2434 0.2500
Tb1 Tb 0.0327 0.9673 0.2500
Tb2 Tb 0.9673 0.0327 0.7500
Nd1 Nd 0.5000 0.5000 0.0000
Nd2 Nd 0.5000 0.5000 0.5000
Te1 Te 0.1227 0.8773 0.0460
Te2 Te 0.1227 0.8773 0.4540
Te3 Te 0.4360 0.5640 0.2500
Te4 Te 0.5640 0.4360 0.7500
Te5 Te 0.8773 0.1227 0.5460
Te6 Te 0.8773 0.1227 0.9540